# CoN (PBE, optimized geometry)
# * magnetic moment: 0.00 μB/cell
# * total DFT energy (no corrections): -59.07 eV for the cell shown
# * energy above the most stable polymorph in this dataset: 0.225 eV per atom
data_CoN
_space_group_name_H-M_alt 'P 1'
_space_group_IT_number 1
_cell_length_a 4.740
_cell_length_b 2.782
_cell_length_c 4.856
_cell_angle_alpha 90.00
_cell_angle_beta 90.00
_cell_angle_gamma 90.00
loop_
_space_group_symop_operation_xyz
'x,y,z'
loop_
_atom_site_label
_atom_site_type_symbol
_atom_site_fract_x
_atom_site_fract_y
_atom_site_fract_z
N1 N 0.238 0.750 0.077
N2 N 0.738 0.750 0.423
N3 N 0.762 0.250 0.923
N4 N 0.262 0.250 0.577
Co1 Co 0.523 0.250 0.256
Co2 Co 0.023 0.250 0.244
Co3 Co 0.477 0.750 0.744
Co4 Co 0.977 0.750 0.756